# 1
An optimized crystal structure of Pb3Cl, computed with PBE.

a = 6.3468 Å, b = 6.3468 Å, c = 6.3468 Å
α = 116.63°, β = 116.63°, γ = 116.63°
Fractional positions:
Cl 0.0000 0.0000 0.0000
Pb 0.0000 0.5000 0.5000
Pb 0.5000 0.5000 0.0000
Pb 0.5000 0.0000 0.5000

Summary:
* relative energy among the computed polymorphs: 111.8 meV/atom
* raw formation energy: -0.183 eV per atom
* DOS at the Fermi energy: 2.18 states/eV per cell



# 2
An optimized crystal structure of PbCl3, computed with PBE.

a = 4.6041 Å, b = 4.6041 Å, c = 4.6041 Å
α = 90.00°, β = 90.00°, γ = 90.00°
Site moments in Bohr magnetons follow the coordinates.
Fractional positions:
Cl 0.5000 0.5000 0.0000  0.28
Cl 0.5000 0.0000 0.5000  0.28
Cl 0.0000 0.5000 0.5000  0.28
Pb 0.0000 0.0000 0.0000  -0.01

Summary:
* raw formation energy: -0.456 eV per atom
* DOS at the Fermi energy: 3.25 states/eV per cell



# 3
An optimized crystal structure of Pb2Cl, computed with PBE.

a = 5.9144 Å, b = 5.9144 Å, c = 8.8885 Å
α = 82.39°, β = 82.39°, γ = 35.80°
Fractional positions:
Cl 0.9701 0.9701 0.8088
Cl 0.0299 0.0299 0.1912
Pb 0.2965 0.2965 0.1595
Pb 0.7035 0.7035 0.8405
Pb 0.3568 0.3568 0.5545
Pb 0.6432 0.6432 0.4455

Summary:
* relative energy among the computed polymorphs: 28.2 meV/atom
* raw formation energy: -0.362 eV per atom
* DOS at the Fermi energy: 2.14 states/eV per cell